K9Fe2O7 | GGA+U | relaxed

The space group is P2_13 (No. 198) and the conventional cell measures 11.1370, 11.1370 and 11.1370 Å, with angles of 90.00, 90.00 and 90.00 degrees. Symmetry generates all atoms from K at (0.0049, 0.2854, 0.8381), K at (0.0365, 0.7797, 0.1655), K at (0.0683, 0.0683, 0.0683), K at (0.1019, 0.6019, 0.8981), K at (0.2299, 0.2299, 0.2299), Fe at (0.0716, 0.9284, 0.4284), Fe at (0.0969, 0.4031, 0.5969), O at (0.0583, 0.3165, 0.0822), O at (0.0669, 0.8425, 0.9060) and O at (0.1985, 0.3015, 0.6985).

As for the crystal system: cubic. For the total energy, the calculation gives -4.407 eV per atom. The calculation puts the volume at 345.3 Å³/f.u. For the total moment, the calculation gives 35.9 Bohr magnetons per cell.